1.
Density functional theory data (PBE-GGA) for a relaxed structure of Mn12Ge3H5.

Computed properties:
Magnetic moment (μB/f.u.): 6.11
Calculated total energy (eV/atom): -6.83
Fermi-level density of states (states/eV/cell): 70.2

abc: 10.055 10.055 10.055
angles: 109.47 109.47 109.47
Last column: magnetic moment on the atom in μB.
Positions (direct):
Ge: 0.750 0.375 0.125  -0.04
Ge: 0.875 0.750 0.125  -0.04
Ge: 0.375 0.750 0.625  -0.04
Ge: 0.250 0.125 0.375  -0.04
Ge: 0.875 0.125 0.250  -0.04
Ge: 0.375 0.625 0.250  -0.04
Ge: 0.625 0.375 0.750  -0.04
Ge: 0.125 0.875 0.750  -0.04
Ge: 0.750 0.875 0.625  -0.04
Ge: 0.625 0.250 0.375  -0.04
Ge: 0.125 0.250 0.875  -0.04
Ge: 0.250 0.625 0.875  -0.04
H: 0.125 0.375 0.250  -0.01
H: 0.000 0.500 0.000  -0.01
H: 0.000 0.000 0.000  -0.01
H: 0.375 0.250 0.125  -0.01
H: 0.500 0.000 0.500  -0.01
H: 0.500 0.500 0.000  -0.01
H: 0.125 0.750 0.375  -0.01
H: 0.750 0.125 0.875  -0.01
H: 0.750 0.625 0.375  -0.01
H: 0.375 0.125 0.750  -0.01
H: 0.625 0.875 0.250  -0.01
H: 0.500 0.500 0.500  -0.01
H: 0.500 0.000 0.000  -0.01
H: 0.000 0.000 0.500  -0.01
H: 0.250 0.375 0.625  -0.01
H: 0.250 0.875 0.125  -0.01
H: 0.000 0.500 0.500  -0.01
H: 0.875 0.250 0.625  -0.01
H: 0.625 0.750 0.875  -0.01
H: 0.875 0.625 0.750  -0.01
Mn: 0.691 0.093 0.000  0.51
Mn: 0.309 0.500 0.407  0.51
Mn: 0.000 0.407 0.309  0.51
Mn: 0.500 0.191 0.093  0.51
Mn: 0.598 0.691 0.691  0.51
Mn: 0.000 0.593 0.191  0.51
Mn: 0.309 0.809 0.402  0.51
Mn: 0.093 0.902 0.093  0.51
Mn: 0.593 0.000 0.691  0.51
Mn: 0.691 0.598 0.191  0.51
Mn: 0.809 0.500 0.407  0.51
Mn: 0.809 0.907 0.000  0.51
Mn: 0.093 0.691 0.500  0.51
Mn: 0.407 0.407 0.098  0.51
Mn: 0.098 0.907 0.407  0.51
Mn: 0.402 0.093 0.593  0.51
Mn: 0.098 0.191 0.191  0.51
Mn: 0.500 0.691 0.093  0.51
Mn: 0.809 0.902 0.309  0.51
Mn: 0.093 0.402 0.093  0.51
Mn: 0.407 0.000 0.809  0.51
Mn: 0.593 0.593 0.402  0.51
Mn: 0.907 0.809 0.500  0.51
Mn: 0.809 0.309 0.902  0.51
Mn: 0.407 0.407 0.598  0.51
Mn: 0.093 0.191 0.500  0.51
Mn: 0.191 0.691 0.098  0.51
Mn: 0.191 0.098 0.691  0.51
Mn: 0.593 0.000 0.191  0.51
Mn: 0.907 0.598 0.907  0.51
Mn: 0.500 0.309 0.907  0.51
Mn: 0.598 0.907 0.407  0.51
Mn: 0.902 0.809 0.809  0.51
Mn: 0.902 0.093 0.593  0.51
Mn: 0.907 0.309 0.500  0.51
Mn: 0.191 0.093 0.000  0.51
Mn: 0.593 0.593 0.902  0.51
Mn: 0.407 0.000 0.309  0.51
Mn: 0.309 0.402 0.809  0.51
Mn: 0.191 0.500 0.593  0.51
Mn: 0.907 0.098 0.907  0.51
Mn: 0.691 0.191 0.598  0.51
Mn: 0.500 0.809 0.907  0.51
Mn: 0.000 0.407 0.809  0.51
Mn: 0.402 0.309 0.309  0.51
Mn: 0.000 0.593 0.691  0.51
Mn: 0.691 0.500 0.593  0.51
Mn: 0.309 0.907 0.000  0.51

***

2.
Density functional theory data (PBE-GGA) for a relaxed structure of Mn2GeH.

Computed properties:
Magnetic moment (μB/f.u.): 2.12
Calculated total energy (eV/atom): -6.55
E above lowest polymorph (meV/atom): 91.1
Fermi-level density of states (states/eV/cell): 2.7

abc: 2.805 2.805 6.060
angles: 76.62 76.62 60.00
Last column: magnetic moment on the atom in μB.
Positions (direct):
Mn: 0.056 0.056 0.832  -0.20
Mn: 0.274 0.274 0.177  2.33
Ge: 0.496 0.496 0.512  -0.04
H: 0.674 0.674 0.979  -0.01